1.
The following is a DFT calculation (PBE-GGA) of Ni2Ag2As after structural relaxation.

a b c (Å): 5.964 5.964 4.333
angles (deg): 90.00 90.00 90.00
Atoms (fractional coordinates):
Ni (0.356, 0.856, 0.000)
Ni (0.856, 0.644, 0.000)
Ni (0.644, 0.144, 0.000)
Ni (0.144, 0.356, 0.000)
As (0.000, 0.000, 0.000)
As (0.500, 0.500, 0.000)
Ag (0.165, 0.665, 0.500)
Ag (0.665, 0.835, 0.500)
Ag (0.835, 0.335, 0.500)
Ag (0.335, 0.165, 0.500)

=====

2.
The following is a DFT calculation (PBE-GGA) of NiAgAs4 after structural relaxation.

a b c (Å): 5.476 5.476 5.476
angles (deg): 60.00 60.00 60.00
Each line ends with the local moment (μB).
Atoms (fractional coordinates):
Ni (0.250, 0.250, 0.250)  0.35
Ag (0.000, 0.000, 0.000)  0.00
As (0.626, 0.626, 0.123)  0.01
As (0.626, 0.123, 0.626)  0.01
As (0.626, 0.626, 0.626)  0.01
As (0.123, 0.626, 0.626)  0.01

=====

Number 1: VASP energy -4.33 eV/atom, DFT formation energy 0.27 eV/f.u., DOS at the Fermi energy 8.643 states/eV/cell. Number 2: VASP energy -3.90 eV/atom, DFT formation energy 3.80 eV/f.u., DOS at the Fermi energy 5.675 states/eV/cell.